VASP calculation (SCAN) on a PBEsol-optimized structure of In2BrCl.

a b c (Å): 6.8208 6.8208 6.8208
angles (deg): 106.29 106.29 116.05
Positions (direct):
Cl: 0.5000 0.5000 0.0000
Cl: 0.7500 0.2500 0.5000
Br: 0.0000 0.0000 0.0000
Br: 0.2500 0.7500 0.5000
In: 0.8609 0.8750 0.4859
In: 0.3891 0.3750 0.5141
In: 0.1250 0.6109 0.9859
In: 0.6250 0.1391 0.0141

## Properties
Energy above the most stable polymorph in this dataset (meV/atom): 118
Uncorrected formation energy (eV per formula unit): -2.65
SG: I-42d, No. 122



VASP calculation (SCAN) on a PBEsol-optimized structure of Mn5P4H10O20.

a b c (Å): 9.0340 9.8401 9.4794
angles (deg): 96.04 90.00 117.33
Positions (direct):
Mn: 0.5985 0.0000 0.2500
Mn: 0.4015 0.0000 0.7500
Mn: 0.6451 0.3487 0.3644
Mn: 0.2964 0.6513 0.1356
Mn: 0.3549 0.6513 0.6356
Mn: 0.7036 0.3487 0.8644
Mn: 0.0966 0.3676 0.8155
Mn: 0.7290 0.6324 0.6845
Mn: 0.9034 0.6324 0.1845
Mn: 0.2710 0.3676 0.3155
P: 0.3998 0.1659 0.0862
P: 0.2339 0.8341 0.4138
P: 0.6002 0.8341 0.9138
P: 0.7661 0.1659 0.5862
P: 0.3986 0.3204 0.6266
P: 0.0781 0.6796 0.8734
P: 0.6014 0.6796 0.3734
P: 0.9219 0.3204 0.1266
H: 0.8836 0.4596 0.5843
H: 0.4240 0.5404 0.9157
H: 0.1164 0.5404 0.4157
H: 0.5760 0.4596 0.0843
H: 0.9286 0.5922 0.4770
H: 0.3364 0.4078 0.0230
H: 0.0714 0.4078 0.5230
H: 0.6636 0.5922 0.9770
H: 0.1526 0.1294 0.7705
H: 0.0232 0.8706 0.7295
H: 0.8474 0.8706 0.2295
H: 0.9768 0.1294 0.2705
H: 0.9745 0.0666 0.8550
H: 0.9079 0.9334 0.6450
H: 0.0255 0.9334 0.1450
H: 0.0921 0.0666 0.3550
H: 0.1905 0.9528 0.9774
H: 0.2376 0.0472 0.5226
H: 0.8095 0.0472 0.0226
H: 0.7624 0.9528 0.4774
O: 0.5043 0.1525 0.2066
O: 0.3518 0.8475 0.2934
O: 0.4957 0.8475 0.7934
O: 0.6482 0.1525 0.7066
O: 0.4764 0.1660 0.9406
O: 0.3105 0.8340 0.5594
O: 0.5236 0.8340 0.0594
O: 0.6895 0.1660 0.4406
O: 0.3871 0.3169 0.1280
O: 0.0702 0.6831 0.3720
O: 0.6129 0.6831 0.8720
O: 0.9298 0.3169 0.6280
O: 0.2186 0.0264 0.0738
O: 0.1921 0.9736 0.4262
O: 0.7814 0.9736 0.9262
O: 0.8079 0.0264 0.5738
O: 0.4265 0.3261 0.4645
O: 0.1004 0.6739 0.0355
O: 0.5735 0.6739 0.5355
O: 0.8996 0.3261 0.9645
O: 0.2965 0.4051 0.6734
O: 0.8913 0.5949 0.8266
O: 0.7035 0.5949 0.3266
O: 0.1087 0.4051 0.1734
O: 0.3029 0.1468 0.6552
O: 0.1561 0.8532 0.8448
O: 0.6971 0.8532 0.3448
O: 0.8439 0.1468 0.1552
O: 0.5692 0.3994 0.7111
O: 0.1698 0.6006 0.7889
O: 0.4308 0.6006 0.2889
O: 0.8302 0.3994 0.2111
O: 0.8357 0.5135 0.5293
O: 0.3222 0.4865 0.9707
O: 0.1643 0.4865 0.4707
O: 0.6778 0.5135 0.0293
O: 0.0842 0.1551 0.8413
O: 0.9291 0.8449 0.6587
O: 0.9158 0.8449 0.1587
O: 0.0709 0.1551 0.3413

## Properties
Electronic total energy (eV/atom): -9.39
SG: C2/c, No. 15



VASP calculation (SCAN) on a PBEsol-optimized structure of MnCrFe2.

a b c (Å): 2.8132 2.8132 5.4946
angles (deg): 90.00 90.00 90.00
Positions (direct):
Cr: 0.5000 0.5000 0.7446
Mn: 0.0000 0.0000 0.5090
Fe: 0.0000 0.0000 0.0003
Fe: 0.5000 0.5000 0.2461

## Properties
Calculated formation energy (eV/f.u.): -0.09
SG: P4mm, No. 99



VASP calculation (SCAN) on a PBEsol-optimized structure of TaHgB2Mo.

a b c (Å): 4.2033 4.2033 5.1015
angles (deg): 90.00 90.00 90.00
Positions (direct):
Mo: 0.5000 0.5000 0.5000
B: 0.0000 0.5000 0.0000
B: 0.5000 0.0000 0.0000
Hg: 0.0000 0.0000 0.5000
Ta: 0.0000 0.0000 0.0000

## Properties
Calculated formation energy (eV/f.u.): 8.47
SG: P4/mmm, No. 123



VASP calculation (SCAN) on a PBEsol-optimized structure of BaZrAs2O8.

a b c (Å): 5.1637 5.1637 7.9647
angles (deg): 87.29 87.29 65.70
Positions (direct):
O: 0.6944 0.6944 0.4156
O: 0.3056 0.3056 0.5844
O: 0.7294 0.2303 0.8059
O: 0.2303 0.7294 0.8059
O: 0.2310 0.2310 0.9422
O: 0.2706 0.7697 0.1941
O: 0.7690 0.7690 0.0578
O: 0.7697 0.2706 0.1941
As: 0.3674 0.3674 0.7803
As: 0.6326 0.6326 0.2197
Ba: 0.0000 0.0000 0.5000
Zr: 0.0000 0.0000 0.0000

## Properties
Uncorrected formation energy (eV per formula unit): -28.73
SG: C2/m, No. 12



VASP calculation (SCAN) on a PBEsol-optimized structure of LiSiPS2.

a b c (Å): 4.1271 4.4447 4.4447
angles (deg): 90.00 90.00 90.00
Positions (direct):
P: 0.5000 0.0000 0.0000
S: 0.0000 0.0000 0.5000
S: 0.0000 0.5000 0.0000
Si: 0.5000 0.5000 0.5000
Li: 0.0000 0.0000 0.0000

## Properties
Uncorrected formation energy (eV per formula unit): 4.18
SG: P4/mmm, No. 123



VASP calculation (SCAN) on a PBEsol-optimized structure of HgAsIr2.

a b c (Å): 5.5354 5.6899 5.6899
angles (deg): 76.31 60.89 60.89
Positions (direct):
As: 0.2500 0.5000 0.5000
As: 0.5000 0.0000 0.0000
Ir: 0.1750 0.9500 0.4500
Ir: 0.5750 0.0500 0.5500
Ir: 0.3750 0.4500 0.0500
Ir: 0.8750 0.5500 0.9500
Hg: 0.7500 0.5000 0.5000
Hg: 0.0000 0.0000 0.0000

## Properties
Energy above the most stable polymorph in this dataset (meV/atom): 0
Calculated formation energy (eV/f.u.): 1.59
SG: I-42d, No. 122



VASP calculation (SCAN) on a PBEsol-optimized structure of CoSbH2Rh.

a b c (Å): 3.5840 3.5840 5.3095
angles (deg): 90.00 90.00 90.00
Positions (direct):
Sb: 0.0000 0.0000 0.0000
Rh: 0.0000 0.0000 0.5000
H: 0.0000 0.5000 0.0000
H: 0.5000 0.0000 0.0000
Co: 0.5000 0.5000 0.5000

## Properties
Electronic total energy (eV/atom): -18.37
SG: P4/mmm, No. 123